[1]
Density functional theory data (GGA-PBE) for an optimized crystal structure of MgTcCl.

Distance to the lowest polymorph of the same formula   107 meV per atom

CIF file:
```
data_MgTcCl
_chemical_formula_sum 'Mg1 Tc1 Cl1'
_symmetry_space_group_name_H-M 'P 1'
_symmetry_Int_Tables_number 1
_cell_length_a 6.869
_cell_length_b 6.552
_cell_length_c 3.060
_cell_angle_alpha 82.68
_cell_angle_beta 71.10
_cell_angle_gamma 26.22
loop_
_symmetry_equiv_pos_as_xyz
'x,y,z'
loop_
_atom_site_label
_atom_site_type_symbol
_atom_site_fract_x
_atom_site_fract_y
_atom_site_fract_z
Cl1 Cl 0.994 0.994 0.006
Mg1 Mg 0.338 0.338 0.662
Tc1 Tc 0.668 0.668 0.332
```

---

[2]
Density functional theory data (GGA-PBE) for an optimized crystal structure of Na4Au2N.

CIF file:
```
data_Na4Au2N
_chemical_formula_sum 'Na4 Au2 N1'
_symmetry_space_group_name_H-M 'P 1'
_symmetry_Int_Tables_number 1
_cell_length_a 4.683
_cell_length_b 4.683
_cell_length_c 8.258
_cell_angle_alpha 73.53
_cell_angle_beta 73.53
_cell_angle_gamma 90.00
loop_
_symmetry_equiv_pos_as_xyz
'x,y,z'
loop_
_atom_site_label
_atom_site_type_symbol
_atom_site_fract_x
_atom_site_fract_y
_atom_site_fract_z
Na1 Na 0.161 0.161 0.679
Na2 Na 0.839 0.839 0.321
Na3 Na 0.000 0.500 0.000
Na4 Na 0.500 0.000 0.000
Au1 Au 0.358 0.358 0.284
Au2 Au 0.642 0.642 0.716
N1 N 0.000 0.000 0.000
```

---

[3]
Density functional theory data (GGA-PBE) for an optimized crystal structure of SnCF2.

Distance to the lowest polymorph of the same formula   209 meV per atom

CIF file:
```
data_SnCF2
_chemical_formula_sum 'Sn1 C1 F2'
_symmetry_space_group_name_H-M 'P 1'
_symmetry_Int_Tables_number 1
_cell_length_a 6.785
_cell_length_b 6.785
_cell_length_c 6.785
_cell_angle_alpha 28.75
_cell_angle_beta 28.75
_cell_angle_gamma 28.75
loop_
_symmetry_equiv_pos_as_xyz
'x,y,z'
loop_
_atom_site_label
_atom_site_type_symbol
_atom_site_fract_x
_atom_site_fract_y
_atom_site_fract_z
C1 C 0.500 0.500 0.500
Sn1 Sn 0.000 0.000 0.000
F1 F 0.881 0.881 0.881
F2 F 0.119 0.119 0.119
```

---

Ordered magnetization results: 1.8; 1.0; 0.9; unit μB per formula unit.
Ordered total energy results: -4.41; -2.77; -3.76; unit eV per atom.
Ordered E_form (uncorrected) results: 0.19; 0.11; 0.49; unit eV per atom.